[1]
DFT (PBE) results for a relaxed structure of Fe13Co2.

Output
As for the crystal system: trigonal. The excess energy over the best structure of this formula in the dataset comes out at 687 meV per atom. The total magnetization comes out at 4.0 μB/f.u. For the formation energy, the calculation gives 0.668 eV per atom.

The structure in CIF format:
```
data_Fe13Co2
_chemical_formula_sum 'Fe39 Co6'
_cell_length_a 6.4284
_cell_length_b 6.4284
_cell_length_c 17.0871
_cell_angle_alpha 90.00
_cell_angle_beta 90.00
_cell_angle_gamma 120.00
_symmetry_space_group_name_H-M 'R -3 m'
_symmetry_Int_Tables_number 166
_symmetry_space_group_name_Hall '-R 3 2"'
loop_
_atom_site_label
_atom_site_type_symbol
_atom_site_fract_x
_atom_site_fract_y
_atom_site_fract_z
_atom_site_occupancy
Fe1 Fe 0.0000 0.0000 0.0000 1
Fe2 Fe 0.0869 0.5435 0.5579 1
Fe3 Fe 0.0926 0.5463 0.3107 1
Co1 Co 0.0000 0.0000 0.2340 1
```


[2]
DFT (PBE) results for a relaxed structure of Fe5Co6.

Output
As for the crystal system: orthorhombic. The total magnetization comes out at 23.0 μB/f.u. For the formation energy, the calculation gives 0.102 eV per atom.

The structure in CIF format:
```
data_Fe5Co6
_chemical_formula_sum 'Fe10 Co12'
_cell_length_a 3.993
_cell_length_b 11.936
_cell_length_c 5.528
_cell_angle_alpha 90.00
_cell_angle_beta 90.00
_cell_angle_gamma 90.00
_symmetry_space_group_name_H-M 'C m m m'
_symmetry_Int_Tables_number 65
_symmetry_space_group_name_Hall '-C 2 2'
loop_
_atom_site_label
_atom_site_type_symbol
_atom_site_fract_x
_atom_site_fract_y
_atom_site_fract_z
_atom_site_occupancy
Fe1 Fe 0.000 0.000 0.000 1
Fe2 Fe 0.000 0.333 0.500 1
Fe3 Fe 0.000 0.334 0.000 1
Co1 Co 0.000 0.165 0.253 1
Co2 Co 0.000 0.500 0.261 1
```


[3]
DFT (PBE) results for a relaxed structure of Fe5Co3.

Output
As for the crystal system: orthorhombic. The excess energy over the best structure of this formula in the dataset comes out at 22 meV per atom. The total magnetization comes out at 18.4 μB/f.u. For the formation energy, the calculation gives -0.039 eV per atom.

The structure in CIF format:
```
data_Fe5Co3
_chemical_formula_sum 'Fe10 Co6'
_cell_length_a 2.850
_cell_length_b 4.021
_cell_length_c 16.100
_cell_angle_alpha 90.00
_cell_angle_beta 90.00
_cell_angle_gamma 90.00
_symmetry_space_group_name_H-M 'I m m 2'
_symmetry_Int_Tables_number 44
_symmetry_space_group_name_Hall 'I 2 -2'
loop_
_atom_site_label
_atom_site_type_symbol
_atom_site_fract_x
_atom_site_fract_y
_atom_site_fract_z
_atom_site_occupancy
Fe1 Fe 0.000 0.000 0.000 1
Fe2 Fe 0.000 0.000 0.250 1
Fe3 Fe 0.000 0.000 0.500 1
Fe4 Fe 0.000 0.500 0.375 1
Fe5 Fe 0.000 0.500 0.625 1
Co1 Co 0.000 0.000 0.750 1
Co2 Co 0.000 0.500 0.125 1
Co3 Co 0.000 0.500 0.875 1
```


[4]
DFT (PBE) results for a relaxed structure of FeCo6.

Output
As for the crystal system: tetragonal. The excess energy over the best structure of this formula in the dataset comes out at 260 meV per atom. The total magnetization comes out at 0.3 μB/f.u. For the formation energy, the calculation gives 0.313 eV per atom.

The structure in CIF format:
```
data_FeCo6
_chemical_formula_sum 'Fe2 Co12'
_cell_length_a 2.433
_cell_length_b 2.433
_cell_length_c 27.448
_cell_angle_alpha 90.00
_cell_angle_beta 90.00
_cell_angle_gamma 90.00
_symmetry_space_group_name_H-M 'I 4/m m m'
_symmetry_Int_Tables_number 139
_symmetry_space_group_name_Hall '-I 4 2'
loop_
_atom_site_label
_atom_site_type_symbol
_atom_site_fract_x
_atom_site_fract_y
_atom_site_fract_z
_atom_site_occupancy
Fe1 Fe 0.000 0.000 0.000 1
Co1 Co 0.000 0.000 0.085 1
Co2 Co 0.000 0.000 0.217 1
Co3 Co 0.000 0.000 0.348 1
```


[5]
DFT (PBE) results for a relaxed structure of Fe5Co3.

Output
As for the crystal system: monoclinic. The excess energy over the best structure of this formula in the dataset comes out at 177 meV per atom. The total magnetization comes out at 17.8 μB/f.u. For the formation energy, the calculation gives 0.117 eV per atom.

The structure in CIF format:
```
data_Fe5Co3
_chemical_formula_sum 'Fe20 Co12'
_cell_length_a 4.487
_cell_length_b 12.966
_cell_length_c 6.845
_cell_angle_alpha 90.00
_cell_angle_beta 109.07
_cell_angle_gamma 90.00
_symmetry_space_group_name_H-M 'C 1 2/m 1'
_symmetry_Int_Tables_number 12
_symmetry_space_group_name_Hall '-C 2y'
loop_
_atom_site_label
_atom_site_type_symbol
_atom_site_fract_x
_atom_site_fract_y
_atom_site_fract_z
_atom_site_occupancy
Fe1 Fe 0.100 0.168 0.200 1
Fe2 Fe 0.168 0.400 0.337 1
Fe3 Fe 0.250 0.000 0.000 1
Co1 Co 0.000 0.250 0.500 1
Co2 Co 0.000 0.322 0.000 1
Co3 Co 0.177 0.000 0.355 1
```


[6]
DFT (PBE) results for a relaxed structure of Fe2Co3.

Output
As for the crystal system: tetragonal. The excess energy over the best structure of this formula in the dataset comes out at 0 meV per atom. The total magnetization comes out at 10.4 μB/f.u. For the formation energy, the calculation gives -0.027 eV per atom.

The structure in CIF format:
```
data_Fe2Co3
_chemical_formula_sum 'Fe4 Co6'
_cell_length_a 2.832
_cell_length_b 2.832
_cell_length_c 14.167
_cell_angle_alpha 90.00
_cell_angle_beta 90.00
_cell_angle_gamma 90.00
_symmetry_space_group_name_H-M 'I 4/m m m'
_symmetry_Int_Tables_number 139
_symmetry_space_group_name_Hall '-I 4 2'
loop_
_atom_site_label
_atom_site_type_symbol
_atom_site_fract_x
_atom_site_fract_y
_atom_site_fract_z
_atom_site_occupancy
Fe1 Fe 0.000 0.000 0.101 1
Co1 Co 0.000 0.000 0.303 1
Co2 Co 0.000 0.000 0.500 1
```


[7]
DFT (PBE) results for a relaxed structure of Fe5Co3.

Output
As for the crystal system: tetragonal. The excess energy over the best structure of this formula in the dataset comes out at 202 meV per atom. The total magnetization comes out at 8.0 μB/f.u. For the formation energy, the calculation gives 0.142 eV per atom.

The structure in CIF format:
```
data_Fe5Co3
_chemical_formula_sum 'Fe5 Co3'
_cell_length_a 2.462
_cell_length_b 2.462
_cell_length_c 14.036
_cell_angle_alpha 90.00
_cell_angle_beta 90.00
_cell_angle_gamma 90.00
_symmetry_space_group_name_H-M 'P 4/m m m'
_symmetry_Int_Tables_number 123
_symmetry_space_group_name_Hall '-P 4 2'
loop_
_atom_site_label
_atom_site_type_symbol
_atom_site_fract_x
_atom_site_fract_y
_atom_site_fract_z
_atom_site_occupancy
Fe1 Fe 0.000 0.000 0.000 1
Fe2 Fe 0.000 0.000 0.248 1
Fe3 Fe 0.500 0.500 0.131 1
Co1 Co 0.000 0.000 0.500 1
Co2 Co 0.500 0.500 0.374 1
```


[8]
DFT (PBE) results for a relaxed structure of Fe2Co3.

Output
As for the crystal system: orthorhombic. The excess energy over the best structure of this formula in the dataset comes out at 36 meV per atom. The total magnetization comes out at 10.5 μB/f.u. For the formation energy, the calculation gives 0.009 eV per atom.

The structure in CIF format:
```
data_Fe2Co3
_chemical_formula_sum 'Fe8 Co12'
_cell_length_a 2.881
_cell_length_b 3.977
_cell_length_c 19.836
_cell_angle_alpha 90.00
_cell_angle_beta 90.00
_cell_angle_gamma 90.00
_symmetry_space_group_name_H-M 'F m m m'
_symmetry_Int_Tables_number 69
_symmetry_space_group_name_Hall '-F 2 2'
loop_
_atom_site_label
_atom_site_type_symbol
_atom_site_fract_x
_atom_site_fract_y
_atom_site_fract_z
_atom_site_occupancy
Fe1 Fe 0.000 0.000 0.100 1
Co1 Co 0.000 0.000 0.300 1
Co2 Co 0.000 0.000 0.500 1
```


[9]
DFT (PBE) results for a relaxed structure of Fe5Co2.

Output
As for the crystal system: monoclinic. The excess energy over the best structure of this formula in the dataset comes out at 17 meV per atom. The total magnetization comes out at 16.4 μB/f.u. For the formation energy, the calculation gives -0.030 eV per atom.

The structure in CIF format:
```
data_Fe5Co2
_chemical_formula_sum 'Fe10 Co4'
_cell_length_a 9.025
_cell_length_b 2.842
_cell_length_c 6.383
_cell_angle_alpha 90.00
_cell_angle_beta 98.41
_cell_angle_gamma 90.00
_symmetry_space_group_name_H-M 'C 1 2/m 1'
_symmetry_Int_Tables_number 12
_symmetry_space_group_name_Hall '-C 2y'
loop_
_atom_site_label
_atom_site_type_symbol
_atom_site_fract_x
_atom_site_fract_y
_atom_site_fract_z
_atom_site_occupancy
Fe1 Fe 0.000 0.000 0.000 1
Fe2 Fe 0.073 0.500 0.715 1
Fe3 Fe 0.143 0.000 0.426 1
Co1 Co 0.214 0.500 0.142 1
```


[10]
DFT (PBE) results for a relaxed structure of Fe5Co3.

Output
As for the crystal system: orthorhombic. The excess energy over the best structure of this formula in the dataset comes out at 68 meV per atom. The total magnetization comes out at 18.0 μB/f.u. For the formation energy, the calculation gives 0.007 eV per atom.

The structure in CIF format:
```
data_Fe5Co3
_chemical_formula_sum 'Fe10 Co6'
_cell_length_a 2.845
_cell_length_b 4.028
_cell_length_c 16.050
_cell_angle_alpha 90.00
_cell_angle_beta 90.00
_cell_angle_gamma 90.00
_symmetry_space_group_name_H-M 'C m m 2'
_symmetry_Int_Tables_number 35
_symmetry_space_group_name_Hall 'C 2 -2'
loop_
_atom_site_label
_atom_site_type_symbol
_atom_site_fract_x
_atom_site_fract_y
_atom_site_fract_z
_atom_site_occupancy
Fe1 Fe 0.000 0.000 0.000 1
Fe2 Fe 0.000 0.000 0.249 1
Fe3 Fe 0.000 0.000 0.747 1
Fe4 Fe 0.000 0.500 0.375 1
Fe5 Fe 0.000 0.500 0.874 1
Co1 Co 0.000 0.000 0.499 1
Co2 Co 0.000 0.500 0.124 1
Co3 Co 0.000 0.500 0.623 1
```


[11]
DFT (PBE) results for a relaxed structure of FeCo7.

Output
As for the crystal system: orthorhombic. The excess energy over the best structure of this formula in the dataset comes out at 9 meV per atom. The total magnetization comes out at 14.5 μB/f.u. For the formation energy, the calculation gives 0.019 eV per atom.

The structure in CIF format:
```
data_FeCo7
_chemical_formula_sum 'Fe1 Co7'
_cell_length_a 3.506
_cell_length_b 3.538
_cell_length_c 7.113
_cell_angle_alpha 90.00
_cell_angle_beta 90.00
_cell_angle_gamma 90.00
_symmetry_space_group_name_H-M 'P m m m'
_symmetry_Int_Tables_number 47
_symmetry_space_group_name_Hall '-P 2 2'
loop_
_atom_site_label
_atom_site_type_symbol
_atom_site_fract_x
_atom_site_fract_y
_atom_site_fract_z
_atom_site_occupancy
Fe1 Fe 0.000 0.000 0.000 1
Co1 Co 0.000 0.000 0.500 1
Co2 Co 0.000 0.500 0.254 1
Co3 Co 0.500 0.000 0.254 1
Co4 Co 0.500 0.500 0.000 1
Co5 Co 0.500 0.500 0.500 1
```


Number 1: DOS at the Fermi energy 0.795 states/eV per atom. Number 2: DOS at the Fermi energy 0.601 states/eV per atom. Number 3: DOS at the Fermi energy 0.529 states/eV per atom. Number 4: DOS at the Fermi energy 1.143 states/eV per atom. Number 5: DOS at the Fermi energy 0.853 states/eV per atom. Number 6: DOS at the Fermi energy 0.696 states/eV per atom. Number 7: DOS at the Fermi energy 1.604 states/eV per atom. Number 8: DOS at the Fermi energy 1.065 states/eV per atom. Number 9: DOS at the Fermi energy 0.497 states/eV per atom. Number 10: DOS at the Fermi energy 0.890 states/eV per atom. Number 11: DOS at the Fermi energy 1.273 states/eV per atom.